Run a
SrAgAsBr2 after structural relaxation. Source: the Alexandria database, functional PBE-GGA.

Output
The density of states at the Fermi level is 2.69 states/eV/f.u. The magnetization is 1.27 μB per cell.

Cell: 5.4184 5.4184 5.1735 Å, 90.00 90.00 90.00°
Closest atoms and distances in Å follow each position.
Atoms (fractional coordinates):
Sr 0.0000 0.0000 0.0000  8 Br 3.75, 4 As 3.83
Ag 0.5000 0.5000 0.5000  2 As 2.59, 4 Br 2.71
As 0.5000 0.5000 0.0000  2 Ag 2.59
Br 0.0000 0.5000 0.5000  2 Ag 2.71
Br 0.5000 0.0000 0.5000  2 Ag 2.71

Run b
SrAgAsBr2 after structural relaxation. Source: the Alexandria database, functional PBE-GGA.

Output
The density of states at the Fermi level is 1.93 states/eV/f.u. The magnetization is 2.00 μB per cell.

Cell: 5.8438 5.8438 6.2778 Å, 90.00 90.00 90.00°
Closest atoms and distances in Å follow each position.
Atoms (fractional coordinates):
Sr 0.0000 0.0000 0.0000  4 Br 2.92, 2 As 3.14
Ag 0.5000 0.5000 0.5000  4 As 4.13, 8 Br 4.29
As 0.0000 0.0000 0.5000  2 Sr 3.14
Br 0.0000 0.5000 0.0000  2 Sr 2.92
Br 0.5000 0.0000 0.0000  2 Sr 2.92

run a is preferred energetically. Next in line: 278 meV/atom higher.

Run a
TaAgAs2Br after structural relaxation. Source: the Alexandria database, functional PBE-GGA.

Output
The density of states at the Fermi level is 3.15 states/eV/f.u. The magnetization is 0.00 μB per cell.

Cell: 5.0084 5.0084 5.2487 Å, 90.00 90.00 90.00°
Closest atoms and distances in Å follow each position.
Atoms (fractional coordinates):
Ta 0.0000 0.0000 0.0000  4 As 2.50, 2 Br 2.62
Ag 0.5000 0.5000 0.5000  4 Br 3.54, 8 As 3.63
As 0.0000 0.5000 0.0000  2 Ta 2.50
As 0.5000 0.0000 0.0000  2 Ta 2.50
Br 0.0000 0.0000 0.5000  2 Ta 2.62

Run b
TaAgAs2Br after structural relaxation. Source: the Alexandria database, functional PBE-GGA.

Output
The density of states at the Fermi level is 4.23 states/eV/f.u. The magnetization is 1.99 μB per cell.

Cell: 5.0830 5.0830 4.8227 Å, 90.00 90.00 90.00°
Closest atoms and distances in Å follow each position.
Atoms (fractional coordinates):
Ta 0.0000 0.0000 0.0000  8 As 3.50, 4 Ag 3.59
Ag 0.5000 0.5000 0.0000  2 Br 2.41
As 0.0000 0.5000 0.5000  2 Br 2.54
As 0.5000 0.0000 0.5000  2 Br 2.54
Br 0.5000 0.5000 0.5000  2 Ag 2.41, 4 As 2.54

run a is preferred energetically. Next in line: 1252 meV/atom higher.

Run a
TaAgAsBr2 after structural relaxation. Source: the Alexandria database, functional PBE-GGA.

Output
The density of states at the Fermi level is 6.33 states/eV/f.u. The magnetization is 1.97 μB per cell.

Cell: 5.0832 5.0832 5.1899 Å, 90.00 90.00 90.00°
Closest atoms and distances in Å follow each position.
Atoms (fractional coordinates):
Ta 0.0000 0.0000 0.0000  4 As 3.59, 8 Br 3.63
Ag 0.5000 0.5000 0.5000  4 Br 2.54, 2 As 2.59
As 0.5000 0.5000 0.0000  2 Ag 2.59
Br 0.0000 0.5000 0.5000  2 Ag 2.54
Br 0.5000 0.0000 0.5000  2 Ag 2.54

Run b
TaAgAsBr2 after structural relaxation. Source: the Alexandria database, functional PBE-GGA.

Output
The density of states at the Fermi level is 1.87 states/eV/f.u. The magnetization is 0.00 μB per cell.

Cell: 5.1242 5.1242 5.1152 Å, 90.00 90.00 90.00°
Closest atoms and distances in Å follow each position.
Atoms (fractional coordinates):
Ta 0.0000 0.0000 0.0000  2 As 2.56, 4 Br 2.56
Ag 0.5000 0.5000 0.5000  8 Br 3.62, 4 As 3.62
As 0.0000 0.0000 0.5000  2 Ta 2.56
Br 0.0000 0.5000 0.0000  2 Ta 2.56
Br 0.5000 0.0000 0.0000  2 Ta 2.56

run b is preferred energetically. Next in line: 1003 meV/atom higher.

Run a
AgTeAsBr2 after structural relaxation. Source: the Alexandria database, functional PBE-GGA.

Output
The density of states at the Fermi level is 5.05 states/eV/f.u. The magnetization is 0.00 μB per cell.

Cell: 5.1125 5.1125 5.3803 Å, 90.00 90.00 90.00°
Closest atoms and distances in Å follow each position.
Atoms (fractional coordinates):
Ag 0.0000 0.0000 0.0000  4 Br 2.56, 2 As 2.69
Te 0.5000 0.5000 0.5000  4 As 3.62, 8 Br 3.71
As 0.0000 0.0000 0.5000  2 Ag 2.69
Br 0.0000 0.5000 0.0000  2 Ag 2.56
Br 0.5000 0.0000 0.0000  2 Ag 2.56

Run b
AgTeAsBr2 after structural relaxation. Source: the Alexandria database, functional PBE-GGA.

Output
The density of states at the Fermi level is 3.14 states/eV/f.u. The magnetization is 0.00 μB per cell.

Cell: 5.7945 5.7945 5.2069 Å, 90.00 90.00 90.00°
Closest atoms and distances in Å follow each position.
Atoms (fractional coordinates):
Ag 0.0000 0.0000 0.0000  8 Br 3.90, 4 As 4.10
Te 0.5000 0.5000 0.5000  2 As 2.60, 4 Br 2.90
As 0.5000 0.5000 0.0000  2 Te 2.60
Br 0.0000 0.5000 0.5000  2 Te 2.90
Br 0.5000 0.0000 0.5000  2 Te 2.90

run a is preferred energetically. Next in line: 39 meV/atom higher.

Run a
TlAgAsBr2 after structural relaxation. Source: the Alexandria database, functional PBE-GGA.

Output
The density of states at the Fermi level is 2.67 states/eV/f.u. The magnetization is 1.97 μB per cell.

Cell: 5.6103 5.6103 5.0692 Å, 90.00 90.00 90.00°
Closest atoms and distances in Å follow each position.
Atoms (fractional coordinates):
Tl 0.0000 0.0000 0.0000  8 Br 3.78, 4 As 3.97
Ag 0.5000 0.5000 0.5000  2 As 2.53, 4 Br 2.81
As 0.5000 0.5000 0.0000  2 Ag 2.53
Br 0.0000 0.5000 0.5000  2 Ag 2.81
Br 0.5000 0.0000 0.5000  2 Ag 2.81

Run b
TlAgAsBr2 after structural relaxation. Source: the Alexandria database, functional PBE-GGA.

Output
The density of states at the Fermi level is 1.97 states/eV/f.u. The magnetization is 1.64 μB per cell.

Cell: 5.8063 5.8063 5.4464 Å, 90.00 90.00 90.00°
Closest atoms and distances in Å follow each position.
Atoms (fractional coordinates):
Tl 0.0000 0.0000 0.0000  2 As 2.72, 4 Br 2.90
Ag 0.5000 0.5000 0.5000  8 Br 3.98, 4 As 4.11
As 0.0000 0.0000 0.5000  2 Tl 2.72
Br 0.0000 0.5000 0.0000  2 Tl 2.90
Br 0.5000 0.0000 0.0000  2 Tl 2.90

run a is preferred energetically. Next in line: 392 meV/atom higher.

Run a
TlAgAs2Br after structural relaxation. Source: the Alexandria database, functional PBE-GGA.

Output
The density of states at the Fermi level is 4.10 states/eV/f.u. The magnetization is 1.94 μB per cell.

Cell: 4.9916 4.9916 6.1990 Å, 90.00 90.00 90.00°
Closest atoms and distances in Å follow each position.
Atoms (fractional coordinates):
Tl 0.0000 0.0000 0.0000  4 Br 3.53
Ag 0.5000 0.5000 0.5000  4 As 2.50
As 0.0000 0.5000 0.5000  2 Ag 2.50
As 0.5000 0.0000 0.5000  2 Ag 2.50
Br 0.5000 0.5000 0.0000  2 Ag 3.10

Run b
TlAgAs2Br after structural relaxation. Source: the Alexandria database, functional PBE-GGA.

Output
The density of states at the Fermi level is 3.76 states/eV/f.u. The magnetization is 0.00 μB per cell.

Cell: 4.9920 5.3316 5.8721 Å, 90.00 90.00 90.00°
Closest atoms and distances in Å follow each position.
Atoms (fractional coordinates):
Tl 0.0000 0.0000 0.0000  2 Br 2.94
Ag 0.5000 0.0000 0.5000  2 Br 2.50
As 0.0000 0.5000 0.5000  2 Br 2.67
As 0.5000 0.5000 0.0000  4 Tl 3.65, 4 As 3.85, 4 Ag 3.97
Br 0.0000 0.0000 0.5000  2 Ag 2.50, 2 As 2.67

run a is preferred energetically. Next in line: 417 meV/atom higher.

Run a
AgAs2WBr after structural relaxation. Source: the Alexandria database, functional PBE-GGA.

Output
The density of states at the Fermi level is 3.86 states/eV/f.u. The magnetization is 0.29 μB per cell.

Cell: 4.8488 4.8488 5.4421 Å, 90.00 90.00 90.00°
Closest atoms and distances in Å follow each position.
Atoms (fractional coordinates):
Ag 0.0000 0.0000 0.0000  4 Br 3.43, 8 As 3.64
As 0.0000 0.5000 0.5000  2 W 2.42
As 0.5000 0.0000 0.5000  2 W 2.42
W 0.5000 0.5000 0.5000  4 As 2.42
Br 0.5000 0.5000 0.0000  2 W 2.72

Run b
AgAs2WBr after structural relaxation. Source: the Alexandria database, functional PBE-GGA.

Output
The density of states at the Fermi level is 4.44 states/eV/f.u. The magnetization is 2.99 μB per cell.

Cell: 4.9666 4.9666 5.1035 Å, 90.00 90.00 90.00°
Closest atoms and distances in Å follow each position.
Atoms (fractional coordinates):
Ag 0.0000 0.0000 0.0000  4 As 2.48, 2 Br 2.55
As 0.0000 0.5000 0.0000  2 Ag 2.48
As 0.5000 0.0000 0.0000  2 Ag 2.48
W 0.5000 0.5000 0.5000  4 Br 3.51, 8 As 3.56
Br 0.0000 0.0000 0.5000  2 Ag 2.55

run a is preferred energetically. Next in line: 1047 meV/atom higher.

Run a
AgAsWBr2 after structural relaxation. Source: the Alexandria database, functional PBE-GGA.

Output
The density of states at the Fermi level is 7.24 states/eV/f.u. The magnetization is 3.11 μB per cell.

Cell: 5.1163 5.1163 5.2723 Å, 90.00 90.00 90.00°
Closest atoms and distances in Å follow each position.
Atoms (fractional coordinates):
Ag 0.0000 0.0000 0.0000  4 Br 2.56, 2 As 2.64
As 0.0000 0.0000 0.5000  2 Ag 2.64
W 0.5000 0.5000 0.5000  4 As 3.62, 8 Br 3.67
Br 0.0000 0.5000 0.0000  2 Ag 2.56
Br 0.5000 0.0000 0.0000  2 Ag 2.56

Run b
AgAsWBr2 after structural relaxation. Source: the Alexandria database, functional PBE-GGA.

Output
The density of states at the Fermi level is 4.30 states/eV/f.u. The magnetization is 1.08 μB per cell.

Cell: 5.2260 5.2260 4.8854 Å, 90.00 90.00 90.00°
Closest atoms and distances in Å follow each position.
Atoms (fractional coordinates):
Ag 0.0000 0.0000 0.0000  8 Br 3.58, 4 As 3.70
As 0.5000 0.5000 0.0000  2 W 2.44
W 0.5000 0.5000 0.5000  2 As 2.44, 4 Br 2.61
Br 0.0000 0.5000 0.5000  2 W 2.61
Br 0.5000 0.0000 0.5000  2 W 2.61

run b is preferred energetically. Next in line: 892 meV/atom higher.